Compound: AlTlRu
Source: Alexandria
Functional: PBE
Structure: optimized geometry Values from VASP.

Summary:
total DFT energy (no corrections)	-15.35	eV per cell
density	10.42	g cm⁻³
E_form	0.011	eV per atom
volume	53.0	Å³ per cell
energy relative to the lowest polymorph listed for this composition	0.00	eV per formula unit

Cell and atoms, written as Quantum ESPRESSO input:
```
&SYSTEM
  ibrav = 0, nat = 3, ntyp = 3
/
ATOMIC_SPECIES
Al 26.98 Al.upf
Tl 204.38 Tl.upf
Ru 101.07 Ru.upf
CELL_PARAMETERS angstrom
-1.641 1.641 4.922
1.641 -1.641 4.922
1.641 1.641 -4.922
ATOMIC_POSITIONS angstrom
Al 0.000 0.000 0.000
Tl 0.000 0.000 6.926
Ru 0.000 0.000 3.920
```